MgSn2WCl: relaxed, GGA-PBE.

Values from the calculation:
E_form (uncorrected)	0.39	eV/atom
space group	P4/mmm
electronic total energy	-22.4	eV for the cell shown

Unit cell a=5.4433 b=5.4433 c=4.5847 alpha=90.00 beta=90.00 gamma=90.00
Fractional coordinates of all 5 atoms:
Mg 0.0000 0.0000 0.0000
Sn 0.0000 0.5000 0.5000
Sn 0.5000 0.0000 0.5000
W 0.5000 0.5000 0.5000
Cl 0.5000 0.5000 0.0000

***

SrMg2Cl: relaxed, GGA-PBE.

Values from the calculation:
E_form (uncorrected)	-0.63	eV/atom
ΔE to the lowest computed polymorph	0.24	eV/f.u.
space group	I4/mmm
electronic total energy	-9.2	eV for the cell shown

Unit cell a=7.4116 b=7.4116 c=7.4116 alpha=146.54 beta=146.54 gamma=48.04
Fractional coordinates of all 4 atoms:
Sr 0.0000 0.0000 0.0000
Mg 0.2500 0.7500 0.5000
Mg 0.7500 0.2500 0.5000
Cl 0.5000 0.5000 0.0000

***

Sr3Mg5Cl12: relaxed, GGA-PBE.

Values from the calculation:
E_form (uncorrected)	-1.64	eV/atom
space group	Ia-3d
electronic total energy	-272.0	eV for the cell shown

Unit cell a=14.7215 b=14.7215 c=14.7215 alpha=109.47 beta=109.47 gamma=109.47
Fractional coordinates of all 80 atoms:
Sr 0.1250 0.2500 0.3750
Sr 0.1250 0.3750 0.7500
Sr 0.2500 0.3750 0.1250
Sr 0.2500 0.8750 0.6250
Sr 0.3750 0.1250 0.2500
Sr 0.3750 0.7500 0.1250
Sr 0.6250 0.2500 0.8750
Sr 0.6250 0.8750 0.7500
Sr 0.7500 0.1250 0.3750
Sr 0.7500 0.6250 0.8750
Sr 0.8750 0.6250 0.2500
Sr 0.8750 0.7500 0.6250
Mg 0.0000 0.0000 0.0000
Mg 0.0000 0.0000 0.5000
Mg 0.0000 0.5000 0.0000
Mg 0.0000 0.5000 0.5000
Mg 0.1250 0.7500 0.8750
Mg 0.1250 0.8750 0.2500
Mg 0.2500 0.1250 0.8750
Mg 0.2500 0.6250 0.3750
Mg 0.3750 0.2500 0.6250
Mg 0.3750 0.6250 0.7500
Mg 0.5000 0.0000 0.0000
Mg 0.5000 0.0000 0.5000
Mg 0.5000 0.5000 0.0000
Mg 0.5000 0.5000 0.5000
Mg 0.6250 0.3750 0.2500
Mg 0.6250 0.7500 0.3750
Mg 0.7500 0.3750 0.6250
Mg 0.7500 0.8750 0.1250
Mg 0.8750 0.1250 0.7500
Mg 0.8750 0.2500 0.1250
Cl 0.0374 0.2416 0.1388
Cl 0.0374 0.2958 0.8986
Cl 0.1014 0.6388 0.3972
Cl 0.1014 0.9626 0.7042
Cl 0.1028 0.7416 0.7042
Cl 0.1028 0.8612 0.3986
Cl 0.1388 0.0374 0.2416
Cl 0.1388 0.6014 0.8972
Cl 0.2042 0.2416 0.6028
Cl 0.2042 0.4626 0.6014
Cl 0.2416 0.1388 0.0374
Cl 0.2416 0.6028 0.2042
Cl 0.2584 0.2958 0.8972
Cl 0.2584 0.4626 0.3612
Cl 0.2958 0.8972 0.2584
Cl 0.2958 0.8986 0.0374
Cl 0.3612 0.2584 0.4626
Cl 0.3612 0.6028 0.8986
Cl 0.3972 0.1014 0.6388
Cl 0.3972 0.7958 0.7584
Cl 0.3986 0.1028 0.8612
Cl 0.3986 0.7958 0.5374
Cl 0.4626 0.3612 0.2584
Cl 0.4626 0.6014 0.2042
Cl 0.5374 0.3986 0.7958
Cl 0.5374 0.6388 0.7416
Cl 0.6014 0.2042 0.4626
Cl 0.6014 0.8972 0.1388
Cl 0.6028 0.2042 0.2416
Cl 0.6028 0.8986 0.3612
Cl 0.6388 0.3972 0.1014
Cl 0.6388 0.7416 0.5374
Cl 0.7042 0.1014 0.9626
Cl 0.7042 0.1028 0.7416
Cl 0.7416 0.5374 0.6388
Cl 0.7416 0.7042 0.1028
Cl 0.7584 0.3972 0.7958
Cl 0.7584 0.8612 0.9626
Cl 0.7958 0.5374 0.3986
Cl 0.7958 0.7584 0.3972
Cl 0.8612 0.3986 0.1028
Cl 0.8612 0.9626 0.7584
Cl 0.8972 0.1388 0.6014
Cl 0.8972 0.2584 0.2958
Cl 0.8986 0.0374 0.2958
Cl 0.8986 0.3612 0.6028
Cl 0.9626 0.7042 0.1014
Cl 0.9626 0.7584 0.8612

***

SrMg2Cl: relaxed, GGA-PBE.

Values from the calculation:
E_form (uncorrected)	-0.51	eV/atom
ΔE to the lowest computed polymorph	0.72	eV/f.u.
space group	I-42d
electronic total energy	-17.5	eV for the cell shown

Unit cell a=7.1964 b=7.1964 c=7.1964 alpha=99.57 beta=99.57 gamma=131.86
Fractional coordinates of all 8 atoms:
Sr 0.0000 0.0000 0.0000
Sr 0.7500 0.2500 0.5000
Mg 0.1705 0.6250 0.0455
Mg 0.3750 0.4205 0.5455
Mg 0.5795 0.1250 0.9545
Mg 0.8750 0.8295 0.4545
Cl 0.2500 0.7500 0.5000
Cl 0.5000 0.5000 0.0000

***

SrMg4Cl: relaxed, GGA-PBE.

Values from the calculation:
E_form (uncorrected)	-0.15	eV/atom
space group	F-43m
electronic total energy	-10.8	eV for the cell shown

Unit cell a=6.3068 b=6.3068 c=6.3068 alpha=60.00 beta=60.00 gamma=60.00
Fractional coordinates of all 6 atoms:
Sr 0.0000 0.0000 0.0000
Mg 0.3736 0.3736 0.3736
Mg 0.3736 0.3736 0.8792
Mg 0.3736 0.8792 0.3736
Mg 0.8792 0.3736 0.3736
Cl 0.7500 0.7500 0.7500

***

SrMgCl4: relaxed, GGA-PBE.

Values from the calculation:
E_form (uncorrected)	-2.12	eV/atom
space group	P2_1/c
electronic total energy	-46.8	eV for the cell shown

Unit cell a=7.3383 b=6.5543 c=7.3681 alpha=90.00 beta=111.11 gamma=90.00
Fractional coordinates of all 12 atoms:
Sr 0.0000 0.0000 0.0000
Sr 0.0000 0.5000 0.5000
Mg 0.5000 0.0000 0.5000
Mg 0.5000 0.5000 0.0000
Cl 0.1662 0.1408 0.3962
Cl 0.1662 0.3592 0.8962
Cl 0.3829 0.7033 0.6791
Cl 0.3829 0.7967 0.1791
Cl 0.6171 0.2033 0.8209
Cl 0.6171 0.2967 0.3209
Cl 0.8338 0.6408 0.1038
Cl 0.8338 0.8592 0.6038

***

Sr2MgCl: relaxed, GGA-PBE.

Values from the calculation:
E_form (uncorrected)	-0.57	eV/atom
ΔE to the lowest computed polymorph	1.08	eV/f.u.
space group	I-4m2
electronic total energy	-9.1	eV for the cell shown

Unit cell a=7.7293 b=7.7293 c=7.7293 alpha=144.79 beta=144.79 gamma=50.65
Fractional coordinates of all 4 atoms:
Sr 0.0000 0.0000 0.0000
Sr 0.7500 0.2500 0.5000
Mg 0.5000 0.5000 0.0000
Cl 0.2500 0.7500 0.5000

***

Sr2Mg2Cl: relaxed, GGA-PBE.

Values from the calculation:
E_form (uncorrected)	-0.52	eV/atom
space group	P4/mbm
electronic total energy	-22.0	eV for the cell shown

Unit cell a=8.1477 b=8.1477 c=5.7184 alpha=90.00 beta=90.00 gamma=90.00
Fractional coordinates of all 10 atoms:
Sr 0.1763 0.3237 0.0000
Sr 0.3237 0.8237 0.0000
Sr 0.6763 0.1763 0.0000
Sr 0.8237 0.6763 0.0000
Mg 0.1265 0.6265 0.5000
Mg 0.3735 0.1265 0.5000
Mg 0.6265 0.8735 0.5000
Mg 0.8735 0.3735 0.5000
Cl 0.0000 0.0000 0.0000
Cl 0.5000 0.5000 0.0000

***

> Which of these has the highest E_form (uncorrected)?

MgSn2WCl

***

> Which formula does entry 8 have?

Sr2Mg2Cl

***

> What is the electronic total energy in the eighth record?

-22.0 eV for the cell shown